Here is a relaxed structure of In2CoBi from Alexandria. Energies are from PBE.

Its electronic total energy is -3.70 eV/atom. For the formation energy, the calculation gives 0.414 eV/atom.

a b c (Å): 4.8507 4.8507 17.8351
angles (deg): 90.00 90.00 90.00
Last column: nearest neighbours and their distance in Å.
Space group I-42d (No. 122)
One atom of each set of equivalent atoms:
In 0.1638 0.2500 0.1250  2 Co 2.66, 2 In 2.90
Co 0.0000 0.0000 0.0000  4 In 2.66
Bi 0.0000 0.0000 0.5000  4 In 3.02

Here is a relaxed structure of TaTe2PdCl from Alexandria. Energies are from PBE.

Its electronic total energy is -4.17 eV/atom. The raw formation energy is 0.861 eV per atom.

a b c (Å): 5.2078 5.2078 5.2186
angles (deg): 90.00 90.00 90.00
Last column: nearest neighbours and their distance in Å.
Space group P4/mmm (No. 123)
One atom of each set of equivalent atoms:
Ta 0.0000 0.0000 0.0000  2 Pd 2.61
Te 0.0000 0.5000 0.5000  2 Pd 2.60
Pd 0.0000 0.0000 0.5000  4 Te 2.60, 2 Ta 2.61
Cl 0.5000 0.5000 0.0000  4 Ta 3.68, 8 Te 3.69

Here is a relaxed structure of Tb3GdH from Alexandria. Energies are from PBE.

Its electronic total energy is -6.44 eV/atom.

a b c (Å): 5.0098 5.0098 5.0098
angles (deg): 90.00 90.00 90.00
Last column: nearest neighbours and their distance in Å.
Space group Pm-3m (No. 221)
One atom of each set of equivalent atoms:
Tb 0.0000 0.0000 0.5000  2 H 2.50
Gd 0.5000 0.5000 0.5000  12 Tb 3.54
H 0.0000 0.0000 0.0000  6 Tb 2.50

Here is a relaxed structure of TaAlRh3 from Alexandria. Energies are from PBE.

Its electronic total energy is -6.72 eV/atom. For the formation energy, the calculation gives 0.808 eV/atom. The calculation puts the energy above the most stable polymorph in this dataset at 0.431 eV per atom.

a b c (Å): 4.7084 4.7084 4.7084
angles (deg): 90.00 90.00 90.00
Last column: nearest neighbours and their distance in Å.
Space group Pm-3m (No. 221)
One atom of each set of equivalent atoms:
Ta 0.0000 0.0000 0.0000  6 Rh 2.35
Al 0.5000 0.5000 0.5000  12 Rh 3.33
Rh 0.0000 0.0000 0.5000  2 Ta 2.35

Here is a relaxed structure of BaSr3Sn from Alexandria. Energies are from PBE.

Its electronic total energy is -2.38 eV/atom. For the formation energy, the calculation gives -0.188 eV/atom. The calculation puts the energy above the most stable polymorph in this dataset at 0.000 eV per atom.

a b c (Å): 6.5042 6.5042 6.5042
angles (deg): 90.00 90.00 90.00
Last column: nearest neighbours and their distance in Å.
Space group Pm-3m (No. 221)
One atom of each set of equivalent atoms:
Ba 0.0000 0.0000 0.0000  12 Sr 4.60
Sr 0.0000 0.5000 0.5000  2 Sn 3.25
Sn 0.5000 0.5000 0.5000  6 Sr 3.25

Here is a relaxed structure of TePSN2 from Alexandria. Energies are from PBE.

Its electronic total energy is -4.27 eV/atom. The raw formation energy is 1.597 eV per atom. The calculation puts the energy above the most stable polymorph in this dataset at 0.626 eV per atom.

a b c (Å): 3.5839 3.5839 7.8384
angles (deg): 90.00 90.00 90.00
Last column: nearest neighbours and their distance in Å.
Space group P4/mmm (No. 123)
One atom of each set of equivalent atoms:
Te 0.0000 0.0000 0.0000  4 P 2.53
P 0.5000 0.5000 0.0000  4 Te 2.53
S 0.0000 0.0000 0.5000  4 N 1.79
N 0.0000 0.5000 0.5000  2 S 1.79

Here is a relaxed structure of V2InSb from Alexandria. Energies are from PBE.

Its electronic total energy is -5.91 eV/atom. The raw formation energy is 0.361 eV per atom. The calculation puts the energy above the most stable polymorph in this dataset at 0.000 eV per atom.

a b c (Å): 6.5539 6.5539 6.5539
angles (deg): 90.00 90.00 90.00
Last column: nearest neighbours and their distance in Å.
Space group Fm-3m (No. 225)
One atom of each set of equivalent atoms:
V 0.2500 0.2500 0.2500  4 In 2.84, 4 Sb 2.84
In 0.0000 0.0000 0.0000  8 V 2.84
Sb 0.0000 0.0000 0.5000  8 V 2.84

Here is a relaxed structure of VCoMo from Alexandria. Energies are from PBE.

Its electronic total energy is -8.93 eV/atom. For the formation energy, the calculation gives 0.090 eV/atom. The calculation puts the energy above the most stable polymorph in this dataset at 0.005 eV per atom.

a b c (Å): 3.0421 3.0421 8.7637
angles (deg): 90.00 90.00 90.00
Last column: nearest neighbours and their distance in Å.
Space group I4mm (No. 107)
One atom of each set of equivalent atoms:
V 0.0000 0.0000 0.0000  4 Co 2.56, 4 Mo 2.61
Co 0.0000 0.0000 0.3406  4 V 2.56, 4 Mo 2.63
Mo 0.0000 0.0000 0.6684  5 V 2.61-2.91, 5 Co 2.63-2.87

Here is a relaxed structure of CsK2MgZn from Alexandria. Energies are from PBE.

Its electronic total energy is -1.03 eV/atom. For the formation energy, the calculation gives 0.151 eV/atom.

a b c (Å): 6.8819 6.8819 5.4182
angles (deg): 90.00 90.00 90.00
Last column: nearest neighbours and their distance in Å.
Space group P4/mmm (No. 123)
One atom of each set of equivalent atoms:
Cs 0.0000 0.0000 0.0000  8 K 4.38, 4 Mg 4.87
K 0.0000 0.5000 0.5000  2 Zn 3.44
Mg 0.5000 0.5000 0.0000  2 Zn 2.71
Zn 0.5000 0.5000 0.5000  2 Mg 2.71

Here is a relaxed structure of Be2ZnPd5Au2 from Alexandria. Energies are from PBE.

Its electronic total energy is -4.50 eV/atom. For the formation energy, the calculation gives -0.380 eV/atom.

a b c (Å): 9.4467 9.4467 3.1982
angles (deg): 90.00 90.00 90.00
Last column: nearest neighbours and their distance in Å.
Space group P4/mbm (No. 127)
One atom of each set of equivalent atoms:
Be 0.1289 0.3711 0.0000  6 Pd 2.30-2.35
Zn 0.0000 0.0000 0.0000  8 Pd 2.61
Pd 0.0000 0.5000 0.5000  4 Be 2.35
Pd 0.0657 0.2084 0.5000  2 Be 2.30
Au 0.1773 0.6773 0.0000  1 Be 2.59, 2 Pd 2.86

Here is a relaxed structure of La4Pr3Mg from Alexandria. Energies are from PBE.

Its electronic total energy is -4.46 eV/atom. For the formation energy, the calculation gives -0.001 eV/atom. The calculation puts the energy above the most stable polymorph in this dataset at 0.005 eV per atom.

a b c (Å): 11.8279 7.3732 6.4235
angles (deg): 90.00 90.00 90.00
Last column: nearest neighbours and their distance in Å.
Space group Pmn2_1 (No. 31)
One atom of each set of equivalent atoms:
La 0.0000 0.1077 0.0000  5 La 3.44-3.69, 3 Pr 3.55-3.68, 2 Mg 3.66-3.71
La 0.0000 0.8699 0.5401  5 La 3.44-3.81, 2 Mg 3.65-3.83, 4 Pr 3.66-3.72
La 0.2364 0.8649 0.1933  1 Mg 3.54, 6 La 3.54-3.81, 5 Pr 3.61-3.77
Pr 0.0000 0.3738 0.5402  5 La 3.55-3.72, 2 Mg 3.57-3.75, 4 Pr 3.61-3.72
Pr 0.2401 0.3756 0.1938  2 Mg 3.50-3.74, 4 Pr 3.61-3.72, 6 La 3.61-3.77
Mg 0.0000 0.6111 0.0239  6 Pr 3.50-3.75, 6 La 3.54-3.83

Repeat the fourth record exactly.
Here is a relaxed structure of TaAlRh3 from Alexandria. Energies are from PBE.

Its electronic total energy is -6.72 eV/atom. For the formation energy, the calculation gives 0.808 eV/atom. The calculation puts the energy above the most stable polymorph in this dataset at 0.431 eV per atom.

a b c (Å): 4.7084 4.7084 4.7084
angles (deg): 90.00 90.00 90.00
Last column: nearest neighbours and their distance in Å.
Space group Pm-3m (No. 221)
One atom of each set of equivalent atoms:
Ta 0.0000 0.0000 0.0000  6 Rh 2.35
Al 0.5000 0.5000 0.5000  12 Rh 3.33
Rh 0.0000 0.0000 0.5000  2 Ta 2.35

Which formula does entry 8 have? VCoMo

What is the electronic total energy in the eighth record? -8.93 eV/atom